# 1
Below is Sm2Ho2Hg3 after structural relaxation, with properties calculated at the GGA-PBE level.

Lattice parameters (Å, degrees): 5.210 5.211 9.046 90.00 106.74 120.00
Site moments in Bohr magnetons follow the coordinates.
Fractional coordinates of all 7 atoms:
Ho (0.755, 0.378, 0.133)  0.05
Hg (0.503, 0.251, 0.755)  0.01
Ho (0.245, 0.622, 0.867)  0.05
Sm (0.745, 0.872, 0.618)  0.09
Sm (0.255, 0.128, 0.382)  0.09
Hg (0.497, 0.749, 0.245)  0.01
Hg (0.000, 0.000, 0.000)  0.00

Results
Its space group is R-3m. The calculated volume comes out at 201 Å³ per cell. The total energy is -21.72 eV/cell. For the magnetization, the calculation gives 0.5 μB/f.u. For the formation energy, the calculation gives -0.3176 eV/atom.



# 2
Below is Sr2MgSn2 after structural relaxation, with properties calculated at the GGA-PBE level.

Lattice parameters (Å, degrees): 5.038 6.663 10.670 86.95 76.34 67.79
Fractional coordinates of all 10 atoms:
Mg (0.352, 0.931, 0.366)
Mg (0.648, 0.069, 0.634)
Sr (0.080, 0.739, 0.100)
Sn (0.637, 0.843, 0.883)
Sn (0.069, 0.292, 0.570)
Sn (0.931, 0.708, 0.430)
Sn (0.363, 0.157, 0.117)
Sr (0.328, 0.669, 0.675)
Sr (0.672, 0.331, 0.325)
Sr (0.920, 0.261, 0.900)

Results
Its space group is C2/m. The calculated volume comes out at 322 Å³ per cell. The total energy is -31.78 eV/cell. For the magnetization, the calculation gives 0.0 μB/f.u. For the formation energy, the calculation gives -0.5849 eV/atom.



# 3
Below is PdPbI2O after structural relaxation, with properties calculated at the GGA-PBE level.

Lattice parameters (Å, degrees): 6.027 6.027 4.106 90.00 90.00 90.00
Fractional coordinates of all 5 atoms:
O (0.000, 0.000, 0.500)
Pd (0.500, 0.500, 0.500)
Pb (0.000, 0.000, 0.000)
I (0.000, 0.500, 0.000)
I (0.500, 0.000, 0.000)

Results
Its space group is P4/mmm. Its formation energy from raw total energies is 0.23 eV per atom. The calculated volume comes out at 149 Å³ per cell. The total energy is -15.82 eV/cell. For the magnetization, the calculation gives 0.0 μB/f.u.



# 4
Below is BeCu2P after structural relaxation, with properties calculated at the GGA-PBE level.

Lattice parameters (Å, degrees): 4.349 4.870 2.685 71.69 94.96 118.05
Fractional coordinates of all 4 atoms:
Cu (0.500, 0.000, 0.500)
P (0.000, 0.500, 0.500)
Cu (0.000, 0.000, 0.000)
Be (0.500, 0.500, 0.000)

Results
Its space group is C2/m. The calculated volume comes out at 47 Å³ per cell. The total energy is -16.59 eV/cell. For the magnetization, the calculation gives 0.0 μB/f.u. For the formation energy, the calculation gives 0.1838 eV/atom.



What is the magnetization in the third record? 0.0 μB/f.u.



The highest calculated volume belongs to which entry? Sr2MgSn2



Which value of magnetization does entry 3 give? 0.0 μB/f.u.



The highest calculated volume belongs to which entry? Sr2MgSn2